TiFe3Bi3PbO12 (PBE with a Hubbard U, relaxed); density of states at the Fermi level = 0.000 states/eV/atom; VASP energy = -131.27 eV per cell
1.0
5.416 0.000 0.000
2.457 5.608 0.000
2.601 0.116 9.310
Ti Fe Bi Pb O
1 3 3 1 12
direct
0.000 0.000 0.000
0.005 0.489 0.500
0.504 0.254 0.741
0.518 0.745 0.233
0.333 0.814 0.595
0.824 0.542 0.865
0.841 0.043 0.368
0.306 0.329 0.115
0.152 0.187 0.419
0.165 0.731 0.905
0.185 0.482 0.657
0.191 0.220 0.899
0.193 0.959 0.150
0.195 0.713 0.400
0.664 0.990 0.619
0.675 0.493 0.658
0.694 0.712 0.401
0.695 0.971 0.146
0.704 0.472 0.123
0.709 0.217 0.893